DFT (PBE) results for crystalline Ca3Sn2Au7 at its relaxed geometry.

Crystal system: tetragonal
Calculated formation energy in eV/f.u.: -5.43
Calculated total energy in eV per atom: -3.53

extended XYZ file:
```
12
Lattice="-2.1835 2.1835 14.5608 2.1835 -2.1835 14.5608 2.1835 2.1835 -14.5608" Properties=species:S:1:pos:R:3 pbc="T T T"
Ca 0.0000 0.0000 0.0000
Ca 0.0000 0.0000 5.0762
Ca 0.0000 0.0000 24.0453
Sn 0.0000 0.0000 10.7573
Sn 0.0000 0.0000 18.3642
Au 2.1835 0.0000 2.1302
Au 0.0000 0.0000 8.0074
Au 2.1835 0.0000 12.4305
Au 0.0000 0.0000 14.5608
Au 0.0000 2.1835 2.1302
Au 0.0000 0.0000 21.1142
Au 0.0000 2.1835 12.4305
```